This record from Alexandria via LeMat-Bulk describes a relaxed In2CuTc crystal. The functional is GGA-PBE.

Summary:
The formation energy from the elements is 0.36 eV per atom. For the volume, the calculation gives 72 Å³/f.u. The density of states at the Fermi level is 3.35 states/eV/cell.

a b c (Å): 3.0305 4.1272 5.7585
angles (deg): 90.00 90.00 90.00
Fractional positions:
Cu (0.5000, 0.5000, 0.7483)
In (0.0000, 0.0000, 0.9674)
In (0.5000, 0.5000, 0.2906)
Tc (0.0000, 0.0000, 0.4937)

This record from Alexandria via LeMat-Bulk describes a relaxed In2PW crystal. The functional is GGA-PBE.

Summary:
The formation energy from the elements is 0.22 eV per atom. For the volume, the calculation gives 79 Å³/f.u. The density of states at the Fermi level is 1.88 states/eV/cell.

a b c (Å): 3.5183 4.2686 5.6927
angles (deg): 67.97 90.00 90.00
Fractional positions:
In (0.0000, 0.9678, 0.9387)
In (0.5000, 0.2739, 0.3277)
P (0.0000, 0.7073, 0.4612)
W (0.5000, 0.5510, 0.7724)

This record from Alexandria via LeMat-Bulk describes a relaxed V3RhC crystal. The functional is GGA-PBE.

Summary:
The formation energy from the elements is 2.14 eV per atom. For the volume, the calculation gives 97 Å³/f.u. The density of states at the Fermi level is 9.68 states/eV/cell.

a b c (Å): 4.5961 4.5961 4.5961
angles (deg): 90.00 90.00 90.00
Each line ends with the local moment (μB).
Fractional positions:
C (0.5000, 0.5000, 0.5000)  -0.38
Rh (0.0000, 0.0000, 0.0000)  -0.21
V (0.0000, 0.5000, 0.0000)  1.69
V (0.0000, 0.0000, 0.5000)  1.69
V (0.5000, 0.0000, 0.0000)  1.69

This record from Alexandria via LeMat-Bulk describes a relaxed NaBPb crystal. The functional is GGA-PBE.

Summary:
The formation energy from the elements is 0.19 eV per atom. For the volume, the calculation gives 71 Å³/f.u. The density of states at the Fermi level is 0.42 states/eV/cell.

a b c (Å): 3.2165 6.2637 7.4323
angles (deg): 108.83 90.26 89.51
Fractional positions:
Pb (0.6562, 0.7927, 0.4208)
Pb (0.6584, 0.0135, 0.0269)
Na (0.1543, 0.4810, 0.9965)
Na (0.1526, 0.2868, 0.4628)
B (0.4428, 0.6703, 0.7303)
B (0.9331, 0.6741, 0.7307)

This record from Alexandria via LeMat-Bulk describes a relaxed TaTlCd crystal. The functional is GGA-PBE.

Summary:
The formation energy from the elements is 0.65 eV per atom. For the volume, the calculation gives 65 Å³/f.u. The density of states at the Fermi level is 2.16 states/eV/cell.

a b c (Å): 5.8835 5.8835 5.8835
angles (deg): 150.48 139.67 50.76
Fractional positions:
Tl (0.6700, 0.6700, 0.0000)
Cd (0.9913, 0.9913, 0.0000)
Ta (0.3387, 0.3387, 0.0000)

This record from Alexandria via LeMat-Bulk describes a relaxed Sm12Tm6Th crystal. The functional is GGA-PBE.

Summary:
The formation energy from the elements is 0.13 eV per atom. For the volume, the calculation gives 633 Å³/f.u. The density of states at the Fermi level is 31.21 states/eV/cell.

a b c (Å): 8.5861 8.5861 8.5861
angles (deg): 88.90 88.90 88.90
Fractional positions:
Sm (0.7811, 0.5366, 0.4376)
Sm (0.4376, 0.7811, 0.5366)
Sm (0.5366, 0.4376, 0.7811)
Sm (0.2189, 0.4634, 0.5624)
Sm (0.5624, 0.2189, 0.4634)
Sm (0.4634, 0.5624, 0.2189)
Sm (0.0145, 0.1977, 0.3569)
Sm (0.8023, 0.6431, 0.9855)
Sm (0.6431, 0.9855, 0.8023)
Sm (0.9855, 0.8023, 0.6431)
Sm (0.1977, 0.3569, 0.0145)
Sm (0.3569, 0.0145, 0.1977)
Tm (0.7449, 0.9016, 0.2996)
Tm (0.7004, 0.2551, 0.0984)
Tm (0.0984, 0.7004, 0.2551)
Tm (0.2551, 0.0984, 0.7004)
Tm (0.2996, 0.7449, 0.9016)
Tm (0.9016, 0.2996, 0.7449)
Th (0.0000, 0.0000, 0.0000)